(1)
! DyTmCu2 (PBE, optimized geometry); values from VASP
! DFT formation energy in meV per atom: -265
&SYSTEM
  ibrav = 0, nat = 4, ntyp = 3
/
ATOMIC_SPECIES
Dy 162.50 Dy.upf
Tm 168.93 Tm.upf
Cu 63.55 Cu.upf
ATOMIC_POSITIONS crystal
Dy 0.000 0.000 0.000
Tm 0.500 0.281 0.281
Cu 0.000 0.714 0.714
Cu 0.500 0.569 0.569
CELL_PARAMETERS angstrom
4.467 0.000 0.000
0.000 1.831 5.115
0.000 -1.831 5.115

(2)
! LuScCSe (PBE, optimized geometry); values from VASP
! Total DFT energy (no corrections) in eV/cell: -56.517
&SYSTEM
  ibrav = 0, nat = 8, ntyp = 4
/
ATOMIC_SPECIES
Lu 174.97 Lu.upf
Sc 44.96 Sc.upf
C 12.01 C.upf
Se 78.96 Se.upf
ATOMIC_POSITIONS crystal
Lu 0.333 0.667 0.398
Lu 0.667 0.333 0.602
Sc 0.333 0.667 0.095
Sc 0.667 0.333 0.905
C 0.000 0.000 0.000
C 0.000 0.000 0.500
Se 0.333 0.667 0.759
Se 0.667 0.333 0.241
CELL_PARAMETERS angstrom
3.588 0.000 0.000
-1.794 3.108 0.000
0.000 0.000 12.619

(3)
! BeCdSO (PBE, optimized geometry); values from VASP
! Total DFT energy (no corrections) in eV/cell: -77.984
&SYSTEM
  ibrav = 0, nat = 16, ntyp = 4
/
ATOMIC_SPECIES
Be 9.01 Be.upf
Cd 112.41 Cd.upf
S 32.06 S.upf
O 16.00 O.upf
ATOMIC_POSITIONS crystal
Be 0.119 0.032 0.000
Be 0.381 0.032 0.500
Be 0.619 0.968 0.000
Be 0.881 0.968 0.500
Cd 0.004 0.344 0.585
Cd 0.496 0.344 0.085
Cd 0.504 0.656 0.585
Cd 0.996 0.656 0.085
S 0.005 0.672 0.585
S 0.495 0.672 0.085
S 0.505 0.328 0.585
S 0.995 0.328 0.085
O 0.120 0.034 0.665
O 0.380 0.034 0.165
O 0.620 0.966 0.665
O 0.880 0.966 0.165
CELL_PARAMETERS angstrom
5.340 0.000 0.000
0.000 8.484 0.000
0.000 0.000 4.992

(4)
! HoB4Pd2 (PBE, optimized geometry); values from VASP
! Total DFT energy (no corrections) in eV/cell: -38.472
&SYSTEM
  ibrav = 0, nat = 7, ntyp = 3
/
ATOMIC_SPECIES
Ho 164.93 Ho.upf
B 10.81 B.upf
Pd 106.42 Pd.upf
ATOMIC_POSITIONS crystal
Ho 0.000 0.000 0.000
B 0.000 0.500 0.326
B 0.000 0.500 0.674
B 0.500 0.000 0.326
B 0.500 0.000 0.674
Pd 0.000 0.000 0.500
Pd 0.500 0.500 0.000
CELL_PARAMETERS angstrom
3.978 0.000 0.000
0.000 3.978 0.000
0.000 0.000 5.565

(5)
! La3Pm (PBE, optimized geometry); values from VASP
! DFT formation energy in meV per atom: 9
&SYSTEM
  ibrav = 0, nat = 4, ntyp = 2
/
ATOMIC_SPECIES
La 138.91 La.upf
Pm 145.00 Pm.upf
ATOMIC_POSITIONS crystal
La 0.000 0.000 0.000
La 0.250 0.750 0.500
La 0.750 0.250 0.500
Pm 0.500 0.500 0.000
CELL_PARAMETERS angstrom
-2.613 2.613 5.278
2.613 -2.613 5.278
2.613 2.613 -5.278

(6)
! Lu4GaSbN2 (PBE, optimized geometry); values from VASP
! Total DFT energy (no corrections) in eV/cell: -51.254
&SYSTEM
  ibrav = 0, nat = 8, ntyp = 4
/
ATOMIC_SPECIES
Lu 174.97 Lu.upf
Ga 69.72 Ga.upf
Sb 121.76 Sb.upf
N 14.01 N.upf
ATOMIC_POSITIONS crystal
Lu 0.000 0.000 0.157
Lu 0.000 0.000 0.843
Lu 0.667 0.333 0.335
Lu 0.667 0.333 0.665
Ga 0.667 0.333 0.000
Sb 0.000 0.000 0.500
N 0.333 0.667 0.249
N 0.333 0.667 0.751
CELL_PARAMETERS angstrom
3.441 0.000 0.000
-1.720 2.980 0.000
0.000 0.000 14.431

(7)
! ZnHg3S2Cl4 (PBE, optimized geometry); values from VASP
! Total DFT energy (no corrections) in eV/cell: -45.661
&SYSTEM
  ibrav = 0, nat = 20, ntyp = 4
/
ATOMIC_SPECIES
Zn 65.41 Zn.upf
Hg 200.59 Hg.upf
S 32.06 S.upf
Cl 35.45 Cl.upf
ATOMIC_POSITIONS crystal
Zn 0.017 0.000 0.495
Zn 0.983 0.500 0.505
Hg 0.016 0.201 0.104
Hg 0.431 0.269 0.970
Hg 0.474 0.092 0.493
Hg 0.526 0.592 0.507
Hg 0.569 0.769 0.030
Hg 0.984 0.701 0.896
S 0.171 0.176 0.500
S 0.306 0.107 0.079
S 0.694 0.607 0.921
S 0.829 0.676 0.500
Cl 0.184 0.493 0.337
Cl 0.224 0.469 0.854
Cl 0.266 0.860 0.623
Cl 0.304 0.804 0.154
Cl 0.696 0.304 0.846
Cl 0.734 0.360 0.377
Cl 0.776 0.969 0.146
Cl 0.816 0.993 0.663
CELL_PARAMETERS angstrom
7.399 0.000 0.000
0.000 11.540 0.000
-3.635 0.000 6.472

(8)
! Ag3Ge11 (PBE, optimized geometry); values from VASP
! Total DFT energy (no corrections) in eV/cell: -55.347
&SYSTEM
  ibrav = 0, nat = 14, ntyp = 2
/
ATOMIC_SPECIES
Ag 107.87 Ag.upf
Ge 72.64 Ge.upf
ATOMIC_POSITIONS crystal
Ag 0.000 0.000 0.000
Ag 0.318 0.318 0.773
Ag 0.622 0.622 0.533
Ge 0.115 0.115 0.746
Ge 0.117 0.490 0.177
Ge 0.208 0.798 0.411
Ge 0.406 0.821 0.163
Ge 0.490 0.117 0.177
Ge 0.522 0.522 0.815
Ge 0.648 0.997 0.612
Ge 0.792 0.792 0.993
Ge 0.798 0.208 0.411
Ge 0.821 0.406 0.163
Ge 0.997 0.648 0.612
CELL_PARAMETERS angstrom
6.688 -3.914 0.000
6.688 3.914 0.000
-2.648 0.000 5.632

(9)
! Hf3Al2GaNiIr2 (PBE, optimized geometry); values from VASP
! Total DFT energy (no corrections) in eV/cell: -71.210
&SYSTEM
  ibrav = 0, nat = 9, ntyp = 5
/
ATOMIC_SPECIES
Hf 178.49 Hf.upf
Al 26.98 Al.upf
Ga 69.72 Ga.upf
Ni 58.69 Ni.upf
Ir 192.22 Ir.upf
ATOMIC_POSITIONS crystal
Hf 0.000 0.000 0.000
Hf 0.000 0.196 0.595
Hf 0.000 0.595 0.196
Al 0.500 0.599 0.848
Al 0.500 0.848 0.599
Ga 0.500 0.342 0.342
Ni 0.000 0.597 0.597
Ir 0.500 0.262 0.925
Ir 0.500 0.925 0.262
CELL_PARAMETERS angstrom
3.399 0.000 0.000
0.000 6.164 3.581
0.000 -6.164 3.581

(10)
! Li2Al2Cd2PdPt (PBE, optimized geometry); values from VASP
! Total DFT energy (no corrections) in eV/cell: -28.458
&SYSTEM
  ibrav = 0, nat = 8, ntyp = 5
/
ATOMIC_SPECIES
Li 6.94 Li.upf
Al 26.98 Al.upf
Cd 112.41 Cd.upf
Pd 106.42 Pd.upf
Pt 195.08 Pt.upf
ATOMIC_POSITIONS crystal
Li 0.000 0.000 0.000
Li 0.500 0.500 0.500
Al 0.000 0.500 0.745
Al 0.500 0.000 0.255
Cd 0.000 0.500 0.245
Cd 0.500 0.000 0.755
Pd 0.500 0.500 0.000
Pt 0.000 0.000 0.500
CELL_PARAMETERS angstrom
4.467 0.000 0.000
0.000 4.467 0.000
0.000 0.000 6.300

(11)
! Na2TaPdS4 (PBE, optimized geometry); values from VASP
! Total DFT energy (no corrections) in eV/cell: -41.972
&SYSTEM
  ibrav = 0, nat = 8, ntyp = 4
/
ATOMIC_SPECIES
Na 22.99 Na.upf
Ta 180.95 Ta.upf
Pd 106.42 Pd.upf
S 32.06 S.upf
ATOMIC_POSITIONS crystal
Na 0.000 0.000 0.246
Na 0.000 0.000 0.754
Ta 0.000 0.000 0.500
Pd 0.000 0.000 0.000
S 0.333 0.667 0.106
S 0.333 0.667 0.894
S 0.667 0.333 0.392
S 0.667 0.333 0.608
CELL_PARAMETERS angstrom
3.449 0.000 0.000
-1.724 2.987 0.000
0.000 0.000 14.216

(12)
! DyTmInCo2 (PBE, optimized geometry); values from VASP
! Total DFT energy (no corrections) in eV/cell: -27.798
&SYSTEM
  ibrav = 0, nat = 5, ntyp = 4
/
ATOMIC_SPECIES
Dy 162.50 Dy.upf
Tm 168.93 Tm.upf
In 114.82 In.upf
Co 58.93 Co.upf
ATOMIC_POSITIONS crystal
Dy 0.000 0.000 0.000
Tm 0.000 0.720 0.720
In 0.500 0.359 0.359
Co 0.500 0.156 0.156
Co 0.500 0.567 0.567
CELL_PARAMETERS angstrom
3.852 0.000 0.000
0.000 1.894 6.858
0.000 -1.894 6.858

(13)
! Lu4Ta2Ga3C3 (PBE, optimized geometry); values from VASP
! Total DFT energy (no corrections) in eV/cell: -171.341
&SYSTEM
  ibrav = 0, nat = 24, ntyp = 4
/
ATOMIC_SPECIES
Lu 174.97 Lu.upf
Ta 180.95 Ta.upf
Ga 69.72 Ga.upf
C 12.01 C.upf
ATOMIC_POSITIONS crystal
Lu 0.044 0.192 0.100
Lu 0.122 0.300 0.400
Lu 0.192 0.044 0.600
Lu 0.300 0.122 0.900
Lu 0.700 0.878 0.100
Lu 0.808 0.956 0.400
Lu 0.878 0.700 0.600
Lu 0.956 0.808 0.900
Ta 0.350 0.526 0.075
Ta 0.474 0.650 0.425
Ta 0.526 0.350 0.575
Ta 0.650 0.474 0.925
Ga 0.156 0.844 0.250
Ga 0.320 0.418 0.752
Ga 0.418 0.320 0.252
Ga 0.582 0.680 0.748
Ga 0.680 0.582 0.248
Ga 0.844 0.156 0.750
C 0.000 0.500 0.000
C 0.192 0.654 0.500
C 0.346 0.808 0.000
C 0.500 0.000 0.500
C 0.654 0.192 0.000
C 0.808 0.346 0.500
CELL_PARAMETERS angstrom
5.063 -2.928 0.000
5.063 2.928 0.000
-3.533 0.000 13.988

(14)
! RbCoOs (PBE, optimized geometry); values from VASP
! Total DFT energy (no corrections) in eV/cell: -12.979
&SYSTEM
  ibrav = 0, nat = 3, ntyp = 3
/
ATOMIC_SPECIES
Rb 85.47 Rb.upf
Co 58.93 Co.upf
Os 190.23 Os.upf
ATOMIC_POSITIONS crystal
Rb 0.000 0.000 0.000
Co 0.750 0.750 0.750
Os 0.500 0.500 0.500
CELL_PARAMETERS angstrom
0.000 3.224 3.224
3.224 0.000 3.224
3.224 3.224 0.000

(15)
! GdDyAsO (PBE, optimized geometry); values from VASP
! Total DFT energy (no corrections) in eV/cell: -52.900
&SYSTEM
  ibrav = 0, nat = 8, ntyp = 4
/
ATOMIC_SPECIES
Gd 157.25 Gd.upf
Dy 162.50 Dy.upf
As 74.92 As.upf
O 16.00 O.upf
ATOMIC_POSITIONS crystal
Gd 0.250 0.250 0.103
Gd 0.750 0.750 0.897
Dy 0.250 0.750 0.500
Dy 0.750 0.250 0.500
As 0.250 0.250 0.704
As 0.750 0.750 0.296
O 0.250 0.750 0.000
O 0.750 0.250 0.000
CELL_PARAMETERS angstrom
4.351 0.000 0.000
0.000 4.351 0.000
0.000 0.000 8.832

(16)
! ScFeHgGe (PBE, optimized geometry); values from VASP
! Total DFT energy (no corrections) in eV/cell: -19.126
&SYSTEM
  ibrav = 0, nat = 4, ntyp = 4
/
ATOMIC_SPECIES
Sc 44.96 Sc.upf
Fe 55.84 Fe.upf
Hg 200.59 Hg.upf
Ge 72.64 Ge.upf
ATOMIC_POSITIONS crystal
Sc 0.000 0.000 0.000
Fe 0.750 0.750 0.750
Hg 0.250 0.250 0.250
Ge 0.500 0.500 0.500
CELL_PARAMETERS angstrom
0.000 3.293 3.293
3.293 0.000 3.293
3.293 3.293 0.000

(17)
! GdZn (PBE, optimized geometry); values from VASP
! DFT formation energy in meV per atom: -228
&SYSTEM
  ibrav = 0, nat = 12, ntyp = 2
/
ATOMIC_SPECIES
Gd 157.25 Gd.upf
Zn 65.41 Zn.upf
ATOMIC_POSITIONS crystal
Gd 0.167 0.250 0.042
Gd 0.183 0.750 0.345
Gd 0.305 0.250 0.654
Gd 0.695 0.750 0.346
Gd 0.817 0.250 0.655
Gd 0.833 0.750 0.958
Zn 0.100 0.750 0.720
Zn 0.393 0.750 0.995
Zn 0.485 0.250 0.339
Zn 0.515 0.750 0.661
Zn 0.607 0.250 0.005
Zn 0.900 0.250 0.280
CELL_PARAMETERS angstrom
7.142 0.000 0.000
0.000 5.021 0.000
-1.543 0.000 7.721

(18)
! PrTlO3 (PBE, optimized geometry); values from VASP
! Total DFT energy (no corrections) in eV/cell: -29.292
&SYSTEM
  ibrav = 0, nat = 5, ntyp = 3
/
ATOMIC_SPECIES
Pr 140.91 Pr.upf
Tl 204.38 Tl.upf
O 16.00 O.upf
ATOMIC_POSITIONS crystal
Pr 0.000 0.000 0.000
Tl 0.500 0.500 0.391
O 0.000 0.000 0.549
O 0.000 0.500 0.174
O 0.500 0.000 0.174
CELL_PARAMETERS angstrom
4.244 0.000 0.000
0.000 4.244 0.000
0.000 0.000 4.989

(19)
! PrSbAsPd2 (PBE, optimized geometry); values from VASP
! Total DFT energy (no corrections) in eV/cell: -56.663
&SYSTEM
  ibrav = 0, nat = 10, ntyp = 4
/
ATOMIC_SPECIES
Pr 140.91 Pr.upf
Sb 121.76 Sb.upf
As 74.92 As.upf
Pd 106.42 Pd.upf
ATOMIC_POSITIONS crystal
Pr 0.250 0.250 0.237
Pr 0.750 0.750 0.763
Sb 0.250 0.250 0.636
Sb 0.750 0.750 0.364
As 0.250 0.750 0.000
As 0.750 0.250 0.000
Pd 0.250 0.250 0.893
Pd 0.250 0.750 0.500
Pd 0.750 0.250 0.500
Pd 0.750 0.750 0.107
CELL_PARAMETERS angstrom
4.585 0.000 0.000
0.000 4.585 0.000
0.000 0.000 10.127

(20)
! MgAu2 (PBE, optimized geometry); values from VASP
! Total DFT energy (no corrections) in eV/cell: -17.852
&SYSTEM
  ibrav = 0, nat = 6, ntyp = 2
/
ATOMIC_SPECIES
Mg 24.30 Mg.upf
Au 196.97 Au.upf
ATOMIC_POSITIONS crystal
Mg 0.250 0.250 0.000
Mg 0.750 0.750 0.000
Au 0.160 0.660 0.821
Au 0.340 0.160 0.500
Au 0.660 0.840 0.500
Au 0.840 0.340 0.179
CELL_PARAMETERS angstrom
-2.999 2.999 3.012
2.999 -2.999 3.012
2.999 2.999 -3.012

(21)
! BaPtN3 (PBE, optimized geometry); values from VASP
! Total DFT energy (no corrections) in eV/cell: -65.442
&SYSTEM
  ibrav = 0, nat = 10, ntyp = 3
/
ATOMIC_SPECIES
Ba 137.33 Ba.upf
Pt 195.08 Pt.upf
N 14.01 N.upf
ATOMIC_POSITIONS crystal
Ba 0.106 0.894 0.750
Ba 0.894 0.106 0.250
Pt 0.403 0.597 0.750
Pt 0.597 0.403 0.250
N 0.059 0.634 0.250
N 0.366 0.941 0.250
N 0.500 0.500 0.000
N 0.500 0.500 0.500
N 0.634 0.059 0.750
N 0.941 0.366 0.750
CELL_PARAMETERS angstrom
1.964 -6.974 0.000
1.964 6.974 0.000
0.000 0.000 5.950

(22)
! K2CdNiCl6 (PBE, optimized geometry); values from VASP
! Total DFT energy (no corrections) in eV/cell: -32.133
&SYSTEM
  ibrav = 0, nat = 10, ntyp = 4
/
ATOMIC_SPECIES
K 39.10 K.upf
Cd 112.41 Cd.upf
Ni 58.69 Ni.upf
Cl 35.45 Cl.upf
ATOMIC_POSITIONS crystal
K 0.250 0.250 0.250
K 0.750 0.750 0.750
Cd 0.000 0.000 0.000
Ni 0.500 0.500 0.500
Cl 0.261 0.261 0.739
Cl 0.261 0.739 0.261
Cl 0.261 0.739 0.739
Cl 0.739 0.261 0.261
Cl 0.739 0.261 0.739
Cl 0.739 0.739 0.261
CELL_PARAMETERS angstrom
0.000 5.006 5.006
5.006 0.000 5.006
5.006 5.006 0.000